Entry A
Material: ZrTc2Os
Method: DFT, SCAN
State: single point on PBEsol structure

## Properties
Density (g/cm³): 12.6
V (Å³/cell): 62.86

Unit cell a=2.8373 b=3.7503 c=5.9076 alpha=90.00 beta=90.00 gamma=90.00
Atoms (fractional coordinates):
Zr1 0.0000 0.0000 0.0000
Tc1 0.0000 0.0000 0.4964
Tc2 0.5000 0.5000 0.7157
Os1 0.5000 0.5000 0.2790

Entry B
Material: ZrTc2Os
Method: DFT, SCAN
State: single point on PBEsol structure

## Properties
Density (g/cm³): 12.7
V (Å³/cell): 62.58

Unit cell a=2.7876 b=2.7876 c=8.0530 alpha=90.00 beta=90.00 gamma=90.00
Atoms (fractional coordinates):
Zr1 0.0000 0.0000 0.0000
Tc1 0.0000 0.0000 0.4895
Tc2 0.5000 0.5000 0.7190
Os1 0.5000 0.5000 0.2752

entry B ends up most stable, edging out the next structure by 0.9 kJ/mol of atoms.

Entry A
Material: ZrTcOs2
Method: DFT, SCAN
State: single point on PBEsol structure

## Properties
Density (g/cm³): 15.3
V (Å³/cell): 61.80

Unit cell a=4.8316 b=4.8316 c=4.8316 alpha=131.58 beta=131.58 gamma=70.89
Atoms (fractional coordinates):
Zr1 0.0000 0.0000 0.0000
Tc1 0.5000 0.5000 0.0000
Os1 0.2500 0.7500 0.5000
Os2 0.7500 0.2500 0.5000

Entry B
Material: ZrTcOs2
Method: DFT, SCAN
State: single point on PBEsol structure

## Properties
Density (g/cm³): 15.2
V (Å³/cell): 62.08

Unit cell a=4.5313 b=4.5313 c=3.0235 alpha=90.00 beta=90.00 gamma=90.00
Atoms (fractional coordinates):
Zr1 0.0000 0.0000 0.0000
Tc1 0.5000 0.5000 0.0000
Os1 0.0000 0.5000 0.5000
Os2 0.5000 0.0000 0.5000

Entry C
Material: ZrTcOs2
Method: DFT, SCAN
State: single point on PBEsol structure

## Properties
Density (g/cm³): 15.3
V (Å³/cell): 62.03

Unit cell a=2.8064 b=2.8064 c=7.8760 alpha=90.00 beta=90.00 gamma=90.00
Atoms (fractional coordinates):
Zr1 0.0000 0.0000 0.0000
Tc1 0.0000 0.0000 0.5000
Os1 0.5000 0.5000 0.2763
Os2 0.5000 0.5000 0.7237

entry C ends up most stable, edging out the next structure by 5.0 kJ/mol of atoms.

Entry A
Material: TeOs2
Method: DFT, SCAN
State: single point on PBEsol structure

## Properties
Density (g/cm³): 14.7
V (Å³/cell): 57.49

Unit cell a=3.6525 b=3.6525 c=4.3090 alpha=90.00 beta=90.00 gamma=90.00
Atoms (fractional coordinates):
Te1 0.0000 0.0000 0.0000
Os1 0.0000 0.5000 0.5000
Os2 0.5000 0.0000 0.5000

Entry B
Material: TeOs2
Method: DFT, SCAN
State: single point on PBEsol structure

## Properties
Density (g/cm³): 17.1
V (Å³/cell): 49.26

Unit cell a=4.3313 b=4.3313 c=3.0321 alpha=90.00 beta=90.00 gamma=120.00
Atoms (fractional coordinates):
Te1 0.0000 0.0000 0.0000
Os1 0.3333 0.6667 0.2612
Os2 0.6667 0.3333 0.7388

entry B ends up most stable, edging out the next structure by 6.0 kJ/mol of atoms.

Entry A
Material: TeOs3
Method: DFT, SCAN
State: single point on PBEsol structure

## Properties
Density (g/cm³): 18.3
V (Å³/cell): 63.29

Unit cell a=4.4732 b=4.4732 c=4.4732 alpha=60.00 beta=60.00 gamma=60.00
Atoms (fractional coordinates):
Te1 0.0000 0.0000 0.0000
Os1 0.2500 0.2500 0.2500
Os2 0.5000 0.5000 0.5000
Os3 0.7500 0.7500 0.7500

Entry B
Material: TeOs3
Method: DFT, SCAN
State: single point on PBEsol structure

## Properties
Density (g/cm³): 18.5
V (Å³/cell): 62.80

Unit cell a=8.8604 b=8.8604 c=8.8604 alpha=18.75 beta=18.75 gamma=18.75
Atoms (fractional coordinates):
Te1 0.0000 0.0000 0.0000
Os1 0.2472 0.2472 0.2472
Os2 0.5000 0.5000 0.5000
Os3 0.7528 0.7528 0.7528

entry B ends up most stable, edging out the next structure by 29.6 kJ/mol of atoms.

Entry A
Material: TeOs3
Method: DFT, SCAN
State: single point on PBEsol structure

## Properties
Density (g/cm³): 18.3
V (Å³/cell): 63.36

Unit cell a=2.8691 b=3.7728 c=5.8538 alpha=90.00 beta=90.00 gamma=90.00
Atoms (fractional coordinates):
Te1 0.0000 0.0000 0.0000
Os1 0.0000 0.0000 0.5000
Os2 0.5000 0.5000 0.2780
Os3 0.5000 0.5000 0.7220

Entry B
Material: TeOs3
Method: DFT, SCAN
State: single point on PBEsol structure

## Properties
Density (g/cm³): 18.9
V (Å³/cell): 61.45

Unit cell a=3.9461 b=3.9461 c=3.9461 alpha=90.00 beta=90.00 gamma=90.00
Atoms (fractional coordinates):
Te1 0.0000 0.0000 0.0000
Os1 0.0000 0.5000 0.5000
Os2 0.5000 0.0000 0.5000
Os3 0.5000 0.5000 0.0000

entry A ends up most stable, edging out the next structure by 13.9 kJ/mol of atoms.

Entry A
Material: TlTeOs2
Method: DFT, SCAN
State: single point on PBEsol structure

## Properties
Density (g/cm³): 16.9
V (Å³/cell): 70.03

Unit cell a=3.1858 b=3.1858 c=6.9002 alpha=90.00 beta=90.00 gamma=90.00
Atoms (fractional coordinates):
Tl1 0.0000 0.0000 0.0000
Te1 0.0000 0.0000 0.5000
Os1 0.5000 0.5000 0.2751
Os2 0.5000 0.5000 0.7249

Entry B
Material: TlTeOs2
Method: DFT, SCAN
State: single point on PBEsol structure

## Properties
Density (g/cm³): 16.5
V (Å³/cell): 71.81

Unit cell a=5.0328 b=5.0328 c=5.0328 alpha=130.61 beta=130.61 gamma=72.44
Atoms (fractional coordinates):
Tl1 0.0000 0.0000 0.0000
Te1 0.2500 0.7500 0.5000
Os1 0.5000 0.5000 0.0000
Os2 0.7500 0.2500 0.5000

Entry C
Material: TlTeOs2
Method: DFT, SCAN
State: single point on PBEsol structure

## Properties
Density (g/cm³): 16.2
V (Å³/cell): 73.24

Unit cell a=5.4259 b=5.4259 c=3.0210 alpha=105.54 beta=105.54 gamma=110.89
Atoms (fractional coordinates):
Tl1 0.0000 0.0000 0.0000
Te1 0.5000 0.5000 0.0000
Os1 0.0000 0.5000 0.0000
Os2 0.5000 0.0000 0.0000

entry A ends up most stable, edging out the next structure by 27.4 kJ/mol of atoms.

Entry A
Material: TlTeOs
Method: DFT, SCAN
State: single point on PBEsol structure

## Properties
Density (g/cm³): 12.9
V (Å³/cell): 67.05

Unit cell a=4.5602 b=4.5602 c=4.5602 alpha=60.00 beta=60.00 gamma=60.00
Atoms (fractional coordinates):
Tl1 0.0000 0.0000 0.0000
Te1 0.5000 0.5000 0.5000
Os1 0.7500 0.7500 0.7500

Entry B
Material: TlTeOs
Method: DFT, SCAN
State: single point on PBEsol structure

## Properties
Density (g/cm³): 14.0
V (Å³/cell): 62.15

Unit cell a=4.6625 b=4.6625 c=3.3014 alpha=90.00 beta=90.00 gamma=120.00
Atoms (fractional coordinates):
Tl1 0.0000 0.0000 0.0000
Te1 0.3333 0.6667 0.5000
Os1 0.6667 0.3333 0.5000

entry A ends up most stable, edging out the next structure by 28.0 kJ/mol of atoms.

Entry A
Material: Te2OsW
Method: DFT, SCAN
State: single point on PBEsol structure

## Properties
Density (g/cm³): 12.3
V (Å³/cell): 85.14

Unit cell a=2.9758 b=3.8417 c=7.4470 alpha=90.00 beta=90.00 gamma=90.00
Atoms (fractional coordinates):
Te1 0.0000 0.0000 0.0000
Te2 0.5000 0.5000 0.4095
Os1 0.5000 0.5000 0.7889
W1 0.0000 0.0000 0.6313

Entry B
Material: Te2OsW
Method: DFT, SCAN
State: single point on PBEsol structure

## Properties
Density (g/cm³): 14.1
V (Å³/cell): 73.91

Unit cell a=5.1160 b=5.1160 c=5.1160 alpha=131.33 beta=131.33 gamma=71.29
Atoms (fractional coordinates):
Te1 0.0000 0.0000 0.0000
Te2 0.7500 0.2500 0.5000
Os1 0.2500 0.7500 0.5000
W1 0.5000 0.5000 0.0000

Entry C
Material: Te2OsW
Method: DFT, SCAN
State: single point on PBEsol structure

## Properties
Density (g/cm³): 13.8
V (Å³/cell): 75.87

Unit cell a=4.7519 b=4.7519 c=4.7519 alpha=60.00 beta=60.00 gamma=60.00
Atoms (fractional coordinates):
Te1 0.0000 0.0000 0.0000
Te2 0.2500 0.2500 0.2500
Os1 0.5000 0.5000 0.5000
W1 0.7500 0.7500 0.7500

Entry D
Material: Te2OsW
Method: DFT, SCAN
State: single point on PBEsol structure

## Properties
Density (g/cm³): 13.8
V (Å³/cell): 75.95

Unit cell a=3.1106 b=3.1106 c=8.9034 alpha=90.00 beta=90.00 gamma=118.16
Atoms (fractional coordinates):
Te1 0.0000 0.0000 0.2468
Te2 0.0000 0.0000 0.7532
Os1 0.5000 0.5000 0.0000
W1 0.5000 0.5000 0.5000

entry A ends up most stable, edging out the next structure by 69.5 kJ/mol of atoms.

Entry A
Material: ZnTeOs
Method: DFT, SCAN
State: single point on PBEsol structure

## Properties
Density (g/cm³): 11.3
V (Å³/cell): 56.17

Unit cell a=6.3109 b=6.3109 c=6.3109 alpha=151.76 beta=151.76 gamma=40.37
Atoms (fractional coordinates):
Zn1 0.0000 0.0000 0.0000
Te1 0.7331 0.7331 0.0000
Os1 0.3686 0.3686 0.0000

Entry B
Material: ZnTeOs
Method: DFT, SCAN
State: single point on PBEsol structure

## Properties
Density (g/cm³): 11.8
V (Å³/cell): 54.10

Unit cell a=3.1759 b=3.1759 c=6.1930 alpha=90.00 beta=90.00 gamma=120.00
Atoms (fractional coordinates):
Zn1 0.0000 0.0000 0.0000
Te1 0.3333 0.6667 0.3947
Os1 0.6667 0.3333 0.6998

entry A ends up most stable, edging out the next structure by 2.9 kJ/mol of atoms.

Entry A
Material: ZnTeOs2
Method: DFT, SCAN
State: single point on PBEsol structure

## Properties
Density (g/cm³): 14.7
V (Å³/cell): 64.62

Unit cell a=2.8456 b=2.8456 c=9.0771 alpha=90.00 beta=90.00 gamma=118.46
Atoms (fractional coordinates):
Zn1 0.0000 0.0000 0.0000
Te1 0.0000 0.0000 0.5000
Os1 0.5000 0.5000 0.2317
Os2 0.5000 0.5000 0.7683

Entry B
Material: ZnTeOs2
Method: DFT, SCAN
State: single point on PBEsol structure

## Properties
Density (g/cm³): 15.2
V (Å³/cell): 62.60

Unit cell a=4.4987 b=4.4987 c=4.9995 alpha=100.05 beta=100.05 gamma=39.02
Atoms (fractional coordinates):
Zn1 0.0000 0.0000 0.0000
Te1 0.5000 0.5000 0.5000
Os1 0.2476 0.2476 0.7670
Os2 0.7524 0.7524 0.2330

entry B ends up most stable, edging out the next structure by 37.1 kJ/mol of atoms.

Entry A
Material: TlOs
Method: DFT, SCAN
State: single point on PBEsol structure

## Properties
Density (g/cm³): 11.7
V (Å³/cell): 56.09

Unit cell a=4.2967 b=4.2967 c=4.2967 alpha=60.00 beta=60.00 gamma=60.00
Atoms (fractional coordinates):
Tl1 0.0000 0.0000 0.0000
Os1 0.2500 0.2500 0.2500

Entry B
Material: TlOs
Method: DFT, SCAN
State: single point on PBEsol structure

## Properties
Density (g/cm³): 18.9
V (Å³/cell): 69.50

Unit cell a=3.2630 b=3.2630 c=6.5272 alpha=90.00 beta=90.00 gamma=90.02
Atoms (fractional coordinates):
Tl1 0.0000 0.0000 0.0000
Tl2 0.0000 0.0000 0.5000
Os1 0.4986 0.5014 0.7500
Os2 0.5014 0.4986 0.2500

Entry C
Material: TlOs
Method: DFT, SCAN
State: single point on PBEsol structure

## Properties
Density (g/cm³): 17.5
V (Å³/cell): 75.05

Unit cell a=2.8881 b=2.9581 c=8.9033 alpha=90.00 beta=99.36 gamma=90.00
Atoms (fractional coordinates):
Tl1 0.0794 0.2500 0.1629
Tl2 0.9206 0.7500 0.8371
Os1 0.2946 0.2500 0.5888
Os2 0.7054 0.7500 0.4112

Entry D
Material: TlOs
Method: DFT, SCAN
State: single point on PBEsol structure

## Properties
Density (g/cm³): 14.4
V (Å³/cell): 91.13

Unit cell a=6.8915 b=6.8915 c=6.8915 alpha=33.98 beta=33.98 gamma=33.98
Atoms (fractional coordinates):
Tl1 0.1086 0.1086 0.1086
Tl2 0.8914 0.8914 0.8914
Os1 0.3471 0.3471 0.3471
Os2 0.6529 0.6529 0.6529

entry C ends up most stable, edging out the next structure by 9.3 kJ/mol of atoms.

Entry A
Material: Tl2OsW
Method: DFT, SCAN
State: single point on PBEsol structure

## Properties
Density (g/cm³): 16.1
V (Å³/cell): 80.97

Unit cell a=3.0280 b=3.0280 c=8.8310 alpha=90.00 beta=90.00 gamma=90.00
Atoms (fractional coordinates):
Tl1 0.0000 0.0000 0.0000
Tl2 0.5000 0.5000 0.3310
Os1 0.5000 0.5000 0.7455
W1 0.0000 0.0000 0.5868

Entry B
Material: Tl2OsW
Method: DFT, SCAN
State: single point on PBEsol structure

## Properties
Density (g/cm³): 17.7
V (Å³/cell): 73.30

Unit cell a=5.5930 b=5.5930 c=2.9954 alpha=104.71 beta=104.71 gamma=116.65
Atoms (fractional coordinates):
Tl1 0.0000 0.5000 0.0000
Tl2 0.5000 0.0000 0.0000
Os1 0.0000 0.0000 0.5000
W1 0.5000 0.5000 0.5000

entry A ends up most stable, edging out the next structure by 68.8 kJ/mol of atoms.